An optimized crystal structure of CaPdW, computed with GGA-PBE.

a = 4.2476 Å, b = 4.2476 Å, c = 9.2696 Å
α = 90.00°, β = 90.00°, γ = 120.00°
Positions (direct):
Ca: 0.0000 0.0000 0.0000
Ca: 0.0000 0.0000 0.5000
Pd: 0.3333 0.6667 0.2500
Pd: 0.6667 0.3333 0.7500
W: 0.3333 0.6667 0.7500
W: 0.6667 0.3333 0.2500


An optimized crystal structure of Sr2CaMgPt, computed with GGA-PBE.

a = 5.9146 Å, b = 5.9146 Å, c = 5.5757 Å
α = 90.00°, β = 90.00°, γ = 90.00°
Positions (direct):
Sr: 0.0000 0.5000 0.0000
Sr: 0.5000 0.0000 0.0000
Ca: 0.0000 0.0000 0.5000
Mg: 0.5000 0.5000 0.5000
Pt: 0.0000 0.0000 0.0000


An optimized crystal structure of Sc6Sn3Bi, computed with GGA-PBE.

a = 8.7078 Å, b = 8.7078 Å, c = 7.2845 Å
α = 90.00°, β = 90.00°, γ = 110.93°
Positions (direct):
Sc: 0.0224 0.9776 0.5000
Sc: 0.0814 0.5069 0.9901
Sc: 0.2448 0.3434 0.6352
Sc: 0.2776 0.7224 0.6199
Sc: 0.3434 0.2448 0.1352
Sc: 0.4931 0.9186 0.9901
Sc: 0.5069 0.0814 0.4901
Sc: 0.6566 0.7552 0.6352
Sc: 0.7224 0.2776 0.1199
Sc: 0.7552 0.6566 0.1352
Sc: 0.9186 0.4931 0.4901
Sc: 0.9776 0.0224 0.0000
Sn: 0.0520 0.2817 0.2907
Sn: 0.2817 0.0520 0.7907
Sn: 0.4337 0.5663 0.9200
Sn: 0.5663 0.4337 0.4200
Sn: 0.7183 0.9480 0.2907
Sn: 0.9480 0.7183 0.7907
Bi: 0.1772 0.8228 0.2394
Bi: 0.8228 0.1772 0.7394


An optimized crystal structure of K2PuInBr6, computed with GGA-PBE.

a = 7.8562 Å, b = 8.5140 Å, c = 13.7469 Å
α = 90.00°, β = 123.78°, γ = 90.00°
Positions (direct):
K: 0.2126 0.0840 0.2466
K: 0.2126 0.4160 0.7466
K: 0.7874 0.5840 0.2534
K: 0.7874 0.9160 0.7534
Pu: 0.5000 0.0000 0.0000
Pu: 0.5000 0.5000 0.5000
In: 0.0000 0.0000 0.5000
In: 0.0000 0.5000 0.0000
Br: 0.1410 0.1794 0.9356
Br: 0.1410 0.3206 0.4356
Br: 0.2621 0.7131 0.9278
Br: 0.2621 0.7869 0.4278
Br: 0.4029 0.0570 0.7672
Br: 0.4029 0.4430 0.2672
Br: 0.5971 0.5570 0.7328
Br: 0.5971 0.9430 0.2328
Br: 0.7379 0.2131 0.5722
Br: 0.7379 0.2869 0.0722
Br: 0.8590 0.6794 0.5644
Br: 0.8590 0.8206 0.0644


An optimized crystal structure of ReSbRu, computed with GGA-PBE.

a = 2.9798 Å, b = 2.9798 Å, c = 6.5368 Å
α = 90.00°, β = 90.00°, γ = 120.00°
Positions (direct):
Re: 0.0000 0.0000 0.0000
Sb: 0.3333 0.6667 0.6471
Ru: 0.6667 0.3333 0.3080


An optimized crystal structure of Tm5GaOs2, computed with GGA-PBE.

a = 8.5428 Å, b = 8.5428 Å, c = 8.5428 Å
α = 127.67°, β = 127.67°, γ = 77.15°
Positions (direct):
Tm: 0.0000 0.0000 0.0000
Tm: 0.0284 0.5284 0.8299
Tm: 0.1986 0.0284 0.5000
Tm: 0.3014 0.8014 0.8299
Tm: 0.4716 0.3014 0.5000
Tm: 0.5000 0.5000 0.0000
Tm: 0.5284 0.6986 0.5000
Tm: 0.6986 0.1986 0.1701
Tm: 0.8014 0.9716 0.5000
Tm: 0.9716 0.4716 0.1701
Ga: 0.2500 0.2500 0.0000
Ga: 0.7500 0.7500 0.0000
Os: 0.1342 0.3658 0.5000
Os: 0.3658 0.8658 0.2316
Os: 0.6342 0.1342 0.7684
Os: 0.8658 0.6342 0.5000


An optimized crystal structure of PaH3, computed with GGA-PBE.

a = 3.9587 Å, b = 3.9587 Å, c = 3.9587 Å
α = 130.37°, β = 130.37°, γ = 72.81°
Positions (direct):
Pa: 0.0000 0.0000 0.0000
H: 0.2500 0.7500 0.5000
H: 0.5000 0.5000 0.0000
H: 0.7500 0.2500 0.5000


An optimized crystal structure of Y2Ti3Si4, computed with GGA-PBE.

a = 7.0575 Å, b = 7.0431 Å, c = 6.8589 Å
α = 90.00°, β = 108.84°, γ = 90.00°
Positions (direct):
Y: 0.1894 0.1688 0.0673
Y: 0.1894 0.3312 0.5673
Y: 0.8106 0.6688 0.4327
Y: 0.8106 0.8312 0.9327
Ti: 0.2569 0.6767 0.2496
Ti: 0.2569 0.8233 0.7496
Ti: 0.5000 0.0000 0.5000
Ti: 0.5000 0.5000 0.0000
Ti: 0.7431 0.1767 0.2504
Ti: 0.7431 0.3233 0.7504
Si: 0.0853 0.5400 0.8716
Si: 0.0853 0.9600 0.3716
Si: 0.4966 0.1252 0.8692
Si: 0.4966 0.3748 0.3692
Si: 0.5034 0.6252 0.6308
Si: 0.5034 0.8748 0.1308
Si: 0.9147 0.0400 0.6284
Si: 0.9147 0.4600 0.1284


Calculated volume values (in A^3/atom) by entry order: 24.14; 39.01; 25.80; 38.21; 16.75; 23.69; 8.79; 17.93.
Total energy values (in eV per atom) by entry order: -6.06; -2.98; -5.82; -4.39; -8.21; -6.37; -5.20; -7.29.